No. 1
This record from Alexandria describes Be2ZnCuSi after structural relaxation. The functional is GGA-PBE.

Cell: 4.1513 4.1513 4.6093 Å, 90.00 90.00 90.00°
Fractional coordinates of all 5 atoms:
1 Be 0.0000 0.5000 0.0000
2 Be 0.5000 0.0000 0.0000
3 Zn 0.0000 0.0000 0.5000
4 Cu 0.5000 0.5000 0.5000
5 Si 0.5000 0.5000 0.0000

Summary:
SG: P4/mmm
Total magnetization: 0.000 μB per atom
Electronic total energy: -2.96 eV/atom

No. 2
This record from Alexandria describes Be2Zn2Cu5Si after structural relaxation. The functional is GGA-PBE.

Cell: 8.1511 8.1511 3.6228 Å, 90.00 90.00 90.00°
Fractional coordinates of all 20 atoms:
1 Be 0.1147 0.3853 0.0000
2 Be 0.3853 0.8853 0.0000
3 Be 0.6147 0.1147 0.0000
4 Be 0.8853 0.6147 0.0000
5 Zn 0.1771 0.6771 0.0000
6 Zn 0.3229 0.1771 0.0000
7 Zn 0.6771 0.8229 0.0000
8 Zn 0.8229 0.3229 0.0000
9 Cu 0.0000 0.5000 0.5000
10 Cu 0.0797 0.2028 0.5000
11 Cu 0.2028 0.9203 0.5000
12 Cu 0.2972 0.4203 0.5000
13 Cu 0.4203 0.7028 0.5000
14 Cu 0.5000 0.0000 0.5000
15 Cu 0.5797 0.2972 0.5000
16 Cu 0.7028 0.5797 0.5000
17 Cu 0.7972 0.0797 0.5000
18 Cu 0.9203 0.7972 0.5000
19 Si 0.0000 0.0000 0.0000
20 Si 0.5000 0.5000 0.0000

Summary:
SG: P4/mbm
Total magnetization: 0.000 μB per atom
Electronic total energy: -3.56 eV/atom